DFT (PBE-GGA) results for a geometry-optimized Pm2Al5Pd2Pt structure.

Results
The calculation puts the volume at 19.00 Å³ per atom. Its energy of formation from the pure elements is -705 meV/atom. For the size of the total moment, the calculation gives 0.0 μB per formula unit. The crystal system is tetragonal. As for the calculated density: 7.28 Mg/m³.

abc: 10.0629 10.0629 3.7527
angles: 90.00 90.00 90.00
Atoms (fractional coordinates):
Pm 0.1871 0.3129 0.0000
Pm 0.3129 0.8129 0.0000
Pm 0.6871 0.1871 0.0000
Pm 0.8129 0.6871 0.0000
Al 0.0000 0.5000 0.5000
Al 0.0456 0.8072 0.5000
Al 0.1928 0.0456 0.5000
Al 0.3072 0.5456 0.5000
Al 0.4544 0.3072 0.5000
Al 0.5000 0.0000 0.5000
Al 0.5456 0.6928 0.5000
Al 0.6928 0.4544 0.5000
Al 0.8072 0.9544 0.5000
Al 0.9544 0.1928 0.5000
Pd 0.1142 0.6142 0.0000
Pd 0.3858 0.1142 0.0000
Pd 0.6142 0.8858 0.0000
Pd 0.8858 0.3858 0.0000
Pt 0.0000 0.0000 0.0000
Pt 0.5000 0.5000 0.0000

=====

DFT (PBE-GGA) results for a geometry-optimized BaSn4Pt4 structure.

Results
The calculation puts the volume at 24.95 Å³ per atom. Its energy of formation from the pure elements is -652 meV/atom. For the size of the total moment, the calculation gives 0.0 μB per formula unit. The crystal system is tetragonal. As for the calculated density: 10.30 Mg/m³.

abc: 9.1669 9.1669 5.3436
angles: 90.00 90.00 90.00
Atoms (fractional coordinates):
Ba 0.2500 0.2500 0.2500
Ba 0.7500 0.7500 0.7500
Sn 0.1172 0.6282 0.1698
Sn 0.1282 0.8828 0.6698
Sn 0.3718 0.6172 0.6698
Sn 0.3828 0.8718 0.1698
Sn 0.6172 0.1282 0.8302
Sn 0.6282 0.3828 0.3302
Sn 0.8718 0.1172 0.3302
Sn 0.8828 0.3718 0.8302
Pt 0.0793 0.5806 0.6754
Pt 0.0806 0.9207 0.1754
Pt 0.4194 0.5793 0.1754
Pt 0.4207 0.9194 0.6754
Pt 0.5793 0.0806 0.3246
Pt 0.5806 0.4207 0.8246
Pt 0.9194 0.0793 0.8246
Pt 0.9207 0.4194 0.3246

=====

DFT (PBE-GGA) results for a geometry-optimized Tb2DyPa structure.

Results
The calculation puts the volume at 29.73 Å³ per atom. Its energy of formation from the pure elements is 133 meV/atom. For the size of the total moment, the calculation gives 0.0 μB per formula unit. The crystal system is tetragonal. As for the calculated density: 9.93 Mg/m³.

abc: 3.4125 3.4125 10.2124
angles: 90.00 90.00 90.00
Atoms (fractional coordinates):
Tb 0.0000 0.0000 0.2335
Tb 0.0000 0.0000 0.7665
Dy 0.5000 0.5000 0.5000
Pa 0.5000 0.5000 0.0000

=====

DFT (PBE-GGA) results for a geometry-optimized HgRu3 structure.

Results
The calculation puts the volume at 15.63 Å³ per atom. Its energy of formation from the pure elements is 489 meV/atom. For the size of the total moment, the calculation gives 0.8 μB per formula unit. The crystal system is monoclinic. As for the calculated density: 13.38 Mg/m³.

abc: 4.8222 4.8222 4.8919
angles: 99.99 99.99 33.97
Atoms (fractional coordinates):
Hg 0.0000 0.0000 0.0000
Ru 0.2387 0.2387 0.7193
Ru 0.5000 0.5000 0.5000
Ru 0.7613 0.7613 0.2807

=====

DFT (PBE-GGA) results for a geometry-optimized CaTh2C structure.

Results
The calculation puts the volume at 29.09 Å³ per atom. Its energy of formation from the pure elements is -32 meV/atom. For the size of the total moment, the calculation gives 0.0 μB per formula unit. The crystal system is trigonal. As for the calculated density: 7.37 Mg/m³.

abc: 10.4018 10.4018 10.4018
angles: 20.11 20.11 20.11
Atoms (fractional coordinates):
Ca 0.0000 0.0000 0.0000
Th 0.1186 0.1186 0.1186
Th 0.8814 0.8814 0.8814
C 0.5000 0.5000 0.5000

=====

DFT (PBE-GGA) results for a geometry-optimized Tb3AgPt8 structure.

Results
The calculation puts the volume at 18.69 Å³ per atom. Its energy of formation from the pure elements is -951 meV/atom. For the size of the total moment, the calculation gives 0.0 μB per formula unit. The crystal system is trigonal. As for the calculated density: 15.88 Mg/m³.

abc: 9.3694 9.3694 9.3694
angles: 33.60 33.60 33.60
Atoms (fractional coordinates):
Tb 0.0000 0.0000 0.0000
Tb 0.1298 0.1298 0.1298
Tb 0.5178 0.5178 0.5178
Ag 0.6370 0.6370 0.6370
Pt 0.0704 0.0704 0.5658
Pt 0.0704 0.5658 0.0704
Pt 0.0711 0.5703 0.5703
Pt 0.3195 0.3195 0.3195
Pt 0.5658 0.0704 0.0704
Pt 0.5703 0.0711 0.5703
Pt 0.5703 0.5703 0.0711
Pt 0.8197 0.8197 0.8197

=====

DFT (PBE-GGA) results for a geometry-optimized La4TcHCl2 structure.

Results
The calculation puts the volume at 26.18 Å³ per atom. For the size of the total moment, the calculation gives 0.0 μB per formula unit. For the total DFT energy (no corrections), the calculation gives -0.203 Ha/atom. The crystal system is monoclinic. As for the calculated density: 5.75 Mg/m³.

abc: 6.6290 4.0974 8.0366
angles: 90.00 106.38 90.00
Atoms (fractional coordinates):
La 0.2381 0.0000 0.2064
La 0.2490 0.5000 0.7928
La 0.7510 0.5000 0.2072
La 0.7619 0.0000 0.7936
Tc 0.5000 0.0000 0.0000
H 0.0000 0.5000 0.0000
Cl 0.0000 0.0000 0.5000
Cl 0.5000 0.5000 0.5000

=====

DFT (PBE-GGA) results for a geometry-optimized Ga7Ir2Pd2 structure.

Results
The calculation puts the volume at 18.04 Å³ per atom. Its energy of formation from the pure elements is -333 meV/atom. For the size of the total moment, the calculation gives 0.0 μB per formula unit. The crystal system is monoclinic. As for the calculated density: 9.08 Mg/m³.

abc: 5.8023 5.8023 6.0000
angles: 90.12 90.12 79.19
Atoms (fractional coordinates):
Ga 0.0000 0.0000 0.0000
Ga 0.0001 0.4995 0.2812
Ga 0.9999 0.5005 0.7188
Ga 0.4995 0.0001 0.2812
Ga 0.5001 0.5001 0.2604
Ga 0.4999 0.4999 0.7396
Ga 0.5005 0.9999 0.7188
Ir 0.2724 0.2724 0.9996
Ir 0.7276 0.7276 0.0004
Pd 0.1985 0.8015 0.5000
Pd 0.8015 0.1985 0.5000

=====

DFT (PBE-GGA) results for a geometry-optimized BaPPbO2 structure.

Results
The calculation puts the volume at 21.17 Å³ per atom. As for the formation energy (no corrections): -716.6 meV/atom. For the size of the total moment, the calculation gives 0.7 μB per formula unit. The crystal system is tetragonal. As for the calculated density: 6.39 Mg/m³.

abc: 4.5204 4.5204 5.1810
angles: 90.00 90.00 90.00
Atoms (fractional coordinates):
Ba 0.0000 0.0000 0.0000
P 0.5000 0.5000 0.0000
Pb 0.5000 0.5000 0.5000
O 0.0000 0.5000 0.5000
O 0.5000 0.0000 0.5000

=====

DFT (PBE-GGA) results for a geometry-optimized LiYBi2Se4 structure.

Results
The calculation puts the volume at 28.78 Å³ per atom. As for the formation energy (no corrections): -825.4 meV/atom. For the size of the total moment, the calculation gives 0.0 μB per formula unit. The crystal system is monoclinic. As for the calculated density: 5.98 Mg/m³.

abc: 7.6927 4.0569 7.7575
angles: 90.00 108.02 90.00
Atoms (fractional coordinates):
Li 0.0000 0.0000 0.0000
Y 0.5000 0.5000 0.5000
Bi 0.0000 0.0000 0.5000
Bi 0.5000 0.5000 0.0000
Se 0.1173 0.5000 0.2760
Se 0.3890 0.0000 0.7117
Se 0.6110 0.0000 0.2883
Se 0.8827 0.5000 0.7240

=====

- Number 5 is which compound?
  CaTh2C